Material: Cs3V2InBr9
Method: DFT, PBE-GGA
State: relaxed

Output
Calculated density (g/cm3): 4.24
Raw formation energy (eV/atom): -1.193

Lattice parameters (Å, degrees): 7.8194 7.8194 9.8653 90.00 90.00 120.00
Last column: nearest neighbours and their distance in Å.
Space group P-3m1 (No. 164)
Symmetry-distinct sites (fractional):
Cs 0.0000 0.0000 0.0000 (multiplicity 1)  12 Br 3.85-3.91
Cs 0.3333 0.6667 0.6693 (multiplicity 2)  12 Br 3.92-4.17
V 0.3333 0.6667 0.1530 (multiplicity 2)  6 Br 2.56-2.72
In 0.0000 0.0000 0.5000 (multiplicity 1)  6 Br 3.11
Br 0.0000 0.5000 0.0000 (multiplicity 3)  2 V 2.72
Br 0.1796 0.3591 0.3030 (multiplicity 6)  1 V 2.56